The following is a DFT calculation (PBE) of a relaxed structure of Tm4Mg3In2.

a = 5.2073 Å, b = 5.2073 Å, c = 9.9498 Å
α = 90.00°, β = 90.00°, γ = 120.00°
Space group P-3m1 (No. 164)
Inequivalent atoms, fractional coordinates:
Tm (0.0000, 0.0000, 0.1729)
Tm (0.3333, 0.6667, 0.3742)
Mg (0.0000, 0.0000, 0.5000)
Mg (0.3333, 0.6667, 0.0115)
In (0.3333, 0.6667, 0.6971)

Properties
formation enthalpy at 0 K = -0.233 eV/atom
magnetic moment = 0.0 Bohr magnetons per cell